A relaxed YZn2P crystal, computed with PBE.

```
YZn2P
1.0
-1.957 2.126 4.594
1.957 -2.126 4.594
1.957 2.126 -4.594
Y Zn P
1 2 1
Direct
0.000 0.000 0.000 Y
0.408 0.408 0.000 Zn
0.734 0.234 0.500 Zn
0.235 0.735 0.500 P
```

Calculated values
total DFT energy (no corrections) = -3.939 eV/atom